DFT (PBE) results for an optimized crystal structure of CuBi2TeBr.

Cell: 5.9527 4.5239 5.9527 Å, 90.00 90.00 90.00°
Element x y z (fractional)
Bi 0.5000 0.0000 0.0000
Bi 0.0000 0.0000 0.5000
Cu 0.0000 0.5000 0.0000
Te 0.5000 0.5000 0.5000
Br 0.0000 0.0000 0.0000

The total DFT energy (no corrections) is -2.688 eV/atom. As for the total magnetization: 0.00 μB per formula unit. As for the uncorrected formation energy: 0.647 eV/atom.